Ba4Fe3O10: optimized geometry, PBE with a Hubbard U.

Geometry as POSCAR:
```
Ba4Fe3O10
1.0
-3.800 1.019 0.965
-1.298 -3.611 -1.299
4.484 -4.243 13.633
O Ba Fe
10 4 3
direct
0.204 0.204 0.408
0.863 0.363 0.725
0.500 0.000 0.000
0.363 0.863 0.725
0.637 0.137 0.275
0.137 0.637 0.275
0.070 0.070 0.139
0.930 0.930 0.861
0.796 0.796 0.592
0.000 0.500 0.000
0.568 0.568 0.136
0.701 0.701 0.401
0.299 0.299 0.599
0.432 0.432 0.864
0.863 0.863 0.725
0.000 0.000 0.000
0.137 0.137 0.275
```

**Density**: 6.04 g/cm3
**Final energy**: -107.2 eV for the cell shown
**V**: 241 Å³/cell
**DOS(E_F)**: 10.3 states/eV per cell